1.
Density functional theory data (GGA-PBEsol) for SiBiSb2H after structural relaxation.

The structure in CIF format:
```
data_SiBiSb2H
_chemical_formula_sum 'Si1 Bi1 Sb2 H1'
_cell_length_a 5.876
_cell_length_b 5.876
_cell_length_c 3.660
_cell_angle_alpha 90.00
_cell_angle_beta 90.00
_cell_angle_gamma 90.00
_space_group_name_H-M_alt 'P 4/m m m'
_space_group_IT_number 123
_space_group_name_Hall '-P 4 2'
loop_
_atom_site_label
_atom_site_type_symbol
_atom_site_fract_x
_atom_site_fract_y
_atom_site_fract_z
Si1 Si 0.000 0.000 0.000
Bi1 Bi 0.500 0.500 0.500
Sb1 Sb 0.000 0.500 0.500
H1 H 0.500 0.500 0.000
```

Properties
For the magnetic moment, the calculation gives 0.00 μB per cell. As for the density of states at the Fermi level: 1.72 states/eV/f.u. For the total energy, the calculation gives -18.6 eV per cell.

2.
Density functional theory data (GGA-PBEsol) for TiBe3Re after structural relaxation.

The structure in CIF format:
```
data_TiBe3Re
_chemical_formula_sum 'Ti1 Be3 Re1'
_cell_length_a 3.994
_cell_length_b 3.994
_cell_length_c 3.994
_cell_angle_alpha 90.00
_cell_angle_beta 90.00
_cell_angle_gamma 90.00
_space_group_name_H-M_alt 'P m -3 m'
_space_group_IT_number 221
_space_group_name_Hall '-P 4 2 3'
loop_
_atom_site_label
_atom_site_type_symbol
_atom_site_fract_x
_atom_site_fract_y
_atom_site_fract_z
Ti1 Ti 0.000 0.000 0.000
Be1 Be 0.000 0.000 0.500
Re1 Re 0.500 0.500 0.500
```

Properties
For the magnetic moment, the calculation gives 0.40 μB per cell. As for the density of states at the Fermi level: 4.19 states/eV/f.u. For the total energy, the calculation gives -24.3 eV per cell.

3.
Density functional theory data (GGA-PBEsol) for InTe2W after structural relaxation.

The structure in CIF format:
```
data_InTe2W
_chemical_formula_sum 'In3 Te6 W3'
_cell_length_a 3.0563
_cell_length_b 3.0563
_cell_length_c 35.7300
_cell_angle_alpha 90.00
_cell_angle_beta 90.00
_cell_angle_gamma 120.00
_space_group_name_H-M_alt 'R -3 m'
_space_group_IT_number 166
_space_group_name_Hall '-R 3 2"'
loop_
_atom_site_label
_atom_site_type_symbol
_atom_site_fract_x
_atom_site_fract_y
_atom_site_fract_z
In1 In 0.0000 0.0000 0.0000
Te1 Te 0.0000 0.0000 0.4235
W1 W 0.0000 0.0000 0.5000
```

Properties
For the magnetic moment, the calculation gives 0.00 μB per cell. As for the density of states at the Fermi level: 3.73 states/eV/f.u. For the total energy, the calculation gives -62.9 eV per cell. For the energy relative to the elements, uncorrected, the calculation gives 720 meV/atom.